VASP calculation (GGA-PBE) on Sr3TaTe after structural relaxation.

Computed properties:
The density comes out at 4.08 g/cm3. Its distance to the lowest polymorph of the same formula is 0.000 eV/f.u. For the energy relative to the elements, uncorrected, the calculation gives 256.9 kJ/mol of formula units.

Cell and atoms, written as CIF:
```
data_Sr3TaTe
_space_group_name_H-M_alt 'P m -3 m'
_space_group_IT_number 221
_space_group_name_Hall '-P 4 2 3'
_cell_length_a 6.147
_cell_length_b 6.147
_cell_length_c 6.147
_cell_angle_alpha 90.00
_cell_angle_beta 90.00
_cell_angle_gamma 90.00
loop_
_atom_site_label
_atom_site_fract_x
_atom_site_fract_y
_atom_site_fract_z
_atom_site_occupancy
Sr1 0.000 0.000 0.500 1
Ta1 0.500 0.500 0.500 1
Te1 0.000 0.000 0.000 1
```